14
Lattice="6.949 0.298 -0.187 2.583 6.457 -0.187 1.739 1.233 7.138" Properties=species:S:1:pos:R:3 comment="HgPbWO4 | Alexandria via LeMat-Bulk | PBE with a Hubbard U | relaxed" energy_ev_per_cell=-82.4 spacegroup="No. 12" density_g_cm3=6.9 pbc="T T T"
W 3.928 2.784 1.834
O 2.481 3.523 1.014
O 3.602 2.553 3.606
Hg 10.592 7.507 4.840
Pb 7.253 5.141 0.852
O 8.790 4.465 5.749
O 5.395 3.823 1.582
O 7.125 6.815 5.749
O 4.146 1.174 1.014
Pb 4.018 2.848 5.911
W 7.343 5.205 4.929
O 5.876 4.165 5.181
Hg 0.679 0.481 1.923
O 7.669 5.435 3.157